1.
VASP calculation (PBE) on a relaxed structure of KNa2CdSe.

Results
**Mass density**: 2.3 g cm⁻³
**Crystal system**: tetragonal
**E_tot**: -2.108 eV/atom

Cell lengths 5.5786, 5.5786, 6.3802 Å; angles 90.00, 90.00, 90.00 degrees
Space group P4/mmm (No. 123)
Asymmetric unit:
K  0.0000  0.0000  0.0000 [1 per cell]
Na  0.0000  0.5000  0.5000 [2 per cell]
Cd  0.5000  0.5000  0.0000 [1 per cell]
Se  0.0000  0.0000  0.5000 [1 per cell]

=====

2.
VASP calculation (PBE) on a relaxed structure of KNa2CdSi.

Results
**Mass density**: 2.2 g cm⁻³
**Crystal system**: tetragonal
**E_tot**: -1.923 eV/atom

Cell lengths 5.7546, 5.7546, 5.1929 Å; angles 90.00, 90.00, 90.00 degrees
Space group P4/mmm (No. 123)
Asymmetric unit:
K  0.0000  0.0000  0.0000 [1 per cell]
Na  0.0000  0.5000  0.5000 [2 per cell]
Cd  0.5000  0.5000  0.0000 [1 per cell]
Si  0.5000  0.5000  0.5000 [1 per cell]

=====

3.
VASP calculation (PBE) on a relaxed structure of K2Na4CdSn2.

Results
**Mass density**: 2.7 g cm⁻³
**ΔH_f (0 K)**: -116 meV/atom
**Crystal system**: monoclinic
**E_tot**: -1.938 eV/atom

Cell lengths 14.2924, 7.8983, 5.7562 Å; angles 90.00, 101.85, 90.00 degrees
Space group C2/m (No. 12)
Asymmetric unit:
K  0.1341  0.0000  0.1964 [4 per cell]
Na  0.1409  0.2938  0.6939 [8 per cell]
Cd  0.0000  0.5000  0.0000 [2 per cell]
Sn  0.1908  0.5000  0.2315 [4 per cell]

=====

4.
VASP calculation (PBE) on a relaxed structure of KNa2CdSn.

Results
**Offset from the most stable computed form**: 0.000 eV/atom
**Mass density**: 2.6 g cm⁻³
**ΔH_f (0 K)**: -34 meV/atom
**Crystal system**: tetragonal
**E_tot**: -1.765 eV/atom

Cell lengths 6.0290, 6.0290, 5.6100 Å; angles 90.00, 90.00, 90.00 degrees
Space group P4/mmm (No. 123)
Asymmetric unit:
K  0.0000  0.0000  0.0000 [1 per cell]
Na  0.0000  0.5000  0.5000 [2 per cell]
Cd  0.5000  0.5000  0.0000 [1 per cell]
Sn  0.5000  0.5000  0.5000 [1 per cell]

=====

5.
VASP calculation (PBE) on a relaxed structure of KNa2CdSn.

Results
**Offset from the most stable computed form**: 0.048 eV/atom
**Mass density**: 2.7 g cm⁻³
**ΔH_f (0 K)**: 14 meV/atom
**Crystal system**: tetragonal
**E_tot**: -1.717 eV/atom

Cell lengths 5.9092, 5.9092, 5.5021 Å; angles 90.00, 90.00, 90.00 degrees
Space group P4/mmm (No. 123)
Asymmetric unit:
K  0.0000  0.0000  0.0000 [1 per cell]
Na  0.0000  0.5000  0.5000 [2 per cell]
Cd  0.5000  0.5000  0.5000 [1 per cell]
Sn  0.5000  0.5000  0.0000 [1 per cell]

=====

6.
VASP calculation (PBE) on a relaxed structure of K2NaCd3Sn4.

Results
**Mass density**: 5.0 g cm⁻³
**ΔH_f (0 K)**: -118 meV/atom
**Crystal system**: tetragonal
**E_tot**: -2.345 eV/atom

Cell lengths 4.7965, 4.7965, 13.2966 Å; angles 90.00, 90.00, 90.00 degrees
Space group P-4m2 (No. 115)
Asymmetric unit:
K  0.0000  0.5000  0.2465 [2 per cell]
Na  0.0000  0.0000  0.5000 [1 per cell]
Cd  0.0000  0.5000  0.8565 [2 per cell]
Cd  0.5000  0.5000  0.5000 [1 per cell]
Sn  0.0000  0.0000  0.0000 [1 per cell]
Sn  0.0000  0.5000  0.6415 [2 per cell]
Sn  0.5000  0.5000  0.0000 [1 per cell]

=====

7.
VASP calculation (PBE) on a relaxed structure of KNaCdSn.

Results
**Mass density**: 4.3 g cm⁻³
**ΔH_f (0 K)**: -137 meV/atom
**Crystal system**: cubic
**E_tot**: -1.971 eV/atom

Cell lengths 7.6678, 7.6678, 7.6678 Å; angles 90.00, 90.00, 90.00 degrees
Space group F-43m (No. 216)
Asymmetric unit:
K  0.0000  0.0000  0.0000 [4 per cell]
Na  0.2500  0.2500  0.7500 [4 per cell]
Cd  0.2500  0.2500  0.2500 [4 per cell]
Sn  0.0000  0.0000  0.5000 [4 per cell]

=====

8.
VASP calculation (PBE) on a relaxed structure of KNaSr2Cd.

Results
**Offset from the most stable computed form**: 0.043 eV/atom
**Mass density**: 2.1 g cm⁻³
**ΔH_f (0 K)**: 64 meV/atom
**Crystal system**: tetragonal
**E_tot**: -1.275 eV/atom

Cell lengths 6.4511, 6.4511, 6.6394 Å; angles 90.00, 90.00, 90.00 degrees
Space group P4/mmm (No. 123)
Asymmetric unit:
K  0.0000  0.0000  0.0000 [1 per cell]
Na  0.5000  0.5000  0.0000 [1 per cell]
Sr  0.0000  0.5000  0.5000 [2 per cell]
Cd  0.0000  0.0000  0.5000 [1 per cell]

=====

9.
VASP calculation (PBE) on a relaxed structure of KNaSrCd.

Results
**Mass density**: 2.7 g cm⁻³
**ΔH_f (0 K)**: -12 meV/atom
**Crystal system**: cubic
**E_tot**: -1.265 eV/atom

Cell lengths 8.6696, 8.6696, 8.6696 Å; angles 90.00, 90.00, 90.00 degrees
Space group F-43m (No. 216)
Asymmetric unit:
K  0.0000  0.0000  0.0000 [4 per cell]
Na  0.2500  0.2500  0.2500 [4 per cell]
Sr  0.0000  0.0000  0.5000 [4 per cell]
Cd  0.2500  0.2500  0.7500 [4 per cell]

=====

10.
VASP calculation (PBE) on a relaxed structure of KNaSr2Cd.

Results
**Offset from the most stable computed form**: 0.000 eV/atom
**Mass density**: 2.2 g cm⁻³
**ΔH_f (0 K)**: 21 meV/atom
**Crystal system**: tetragonal
**E_tot**: -1.318 eV/atom

Cell lengths 6.5086, 6.5086, 6.1321 Å; angles 90.00, 90.00, 90.00 degrees
Space group P4/mmm (No. 123)
Asymmetric unit:
K  0.0000  0.0000  0.0000 [1 per cell]
Na  0.5000  0.5000  0.0000 [1 per cell]
Sr  0.0000  0.5000  0.5000 [2 per cell]
Cd  0.5000  0.5000  0.5000 [1 per cell]

=====

11.
VASP calculation (PBE) on a relaxed structure of KNa2SrCd.

Results
**Mass density**: 2.0 g cm⁻³
**ΔH_f (0 K)**: 45 meV/atom
**Crystal system**: tetragonal
**E_tot**: -1.221 eV/atom

Cell lengths 6.1467, 6.1467, 6.3972 Å; angles 90.00, 90.00, 90.00 degrees
Space group P4/mmm (No. 123)
Asymmetric unit:
K  0.0000  0.0000  0.0000 [1 per cell]
Na  0.0000  0.5000  0.5000 [2 per cell]
Sr  0.5000  0.5000  0.0000 [1 per cell]
Cd  0.5000  0.5000  0.5000 [1 per cell]

=====

12.
VASP calculation (PBE) on a relaxed structure of K2NaTaCd.

Results
**Mass density**: 2.8 g cm⁻³
**ΔH_f (0 K)**: 1077 meV/atom
**Crystal system**: tetragonal
**E_tot**: -2.179 eV/atom

Cell lengths 6.4831, 6.4831, 5.5645 Å; angles 90.00, 90.00, 90.00 degrees
Space group P4/mmm (No. 123)
Asymmetric unit:
K  0.0000  0.5000  0.0000 [2 per cell]
Na  0.0000  0.0000  0.5000 [1 per cell]
Ta  0.5000  0.5000  0.5000 [1 per cell]
Cd  0.5000  0.5000  0.0000 [1 per cell]

=====

13.
VASP calculation (PBE) on a relaxed structure of KNaTiCd2.

Results
**Mass density**: 3.0 g cm⁻³
**ΔH_f (0 K)**: 505 meV/atom
**Crystal system**: tetragonal
**E_tot**: -1.923 eV/atom

Cell lengths 5.5646, 5.5646, 5.9736 Å; angles 90.00, 90.00, 90.00 degrees
Space group P4/mmm (No. 123)
Asymmetric unit:
K  0.0000  0.0000  0.0000 [1 per cell]
Na  0.5000  0.5000  0.0000 [1 per cell]
Ti  0.5000  0.5000  0.5000 [1 per cell]
Cd  0.0000  0.5000  0.5000 [2 per cell]

=====

14.
VASP calculation (PBE) on a relaxed structure of KNa2TlCd.

Results
**Offset from the most stable computed form**: 0.000 eV/atom
**Mass density**: 3.7 g cm⁻³
**ΔH_f (0 K)**: 12 meV/atom
**Crystal system**: orthorhombic
**E_tot**: -1.391 eV/atom

Cell lengths 3.5411, 5.2155, 19.6620 Å; angles 90.00, 90.00, 90.00 degrees
Space group Imm2 (No. 44)
Asymmetric unit:
K  0.0000  0.0000  0.0000 [2 per cell]
Na  0.0000  0.0000  0.3641 [2 per cell]
Na  0.0000  0.0000  0.7669 [2 per cell]
Tl  0.0000  0.5000  0.1190 [2 per cell]
Cd  0.0000  0.0000  0.1987 [2 per cell]

=====

15.
VASP calculation (PBE) on a relaxed structure of K2Na2Tl5Cd2.

Results
**Mass density**: 4.7 g cm⁻³
**ΔH_f (0 K)**: 159 meV/atom
**Crystal system**: tetragonal
**E_tot**: -1.522 eV/atom

Cell lengths 5.1597, 5.1597, 36.0313 Å; angles 90.00, 90.00, 90.00 degrees
Space group I4/mmm (No. 139)
Asymmetric unit:
K  0.0000  0.0000  0.2047 [4 per cell]
Na  0.0000  0.0000  0.3195 [4 per cell]
Tl  0.0000  0.0000  0.0000 [2 per cell]
Tl  0.0000  0.5000  0.1244 [8 per cell]
Cd  0.0000  0.0000  0.0801 [4 per cell]

=====

16.
VASP calculation (PBE) on a relaxed structure of KNaTlCd2.

Results
**Offset from the most stable computed form**: 0.109 eV/atom
**Mass density**: 4.1 g cm⁻³
**ΔH_f (0 K)**: 53 meV/atom
**Crystal system**: tetragonal
**E_tot**: -1.270 eV/atom

Cell lengths 5.7781, 5.7781, 5.9444 Å; angles 90.00, 90.00, 90.00 degrees
Space group P4/mmm (No. 123)
Asymmetric unit:
K  0.0000  0.0000  0.0000 [1 per cell]
Na  0.5000  0.5000  0.0000 [1 per cell]
Tl  0.5000  0.5000  0.5000 [1 per cell]
Cd  0.0000  0.5000  0.5000 [2 per cell]

=====

17.
VASP calculation (PBE) on a relaxed structure of KNa2TlCd.

Results
**Offset from the most stable computed form**: 0.003 eV/atom
**Mass density**: 3.2 g cm⁻³
**ΔH_f (0 K)**: 16 meV/atom
**Crystal system**: tetragonal
**E_tot**: -1.388 eV/atom

Cell lengths 6.0086, 6.0086, 5.7839 Å; angles 90.00, 90.00, 90.00 degrees
Space group P4/mmm (No. 123)
Asymmetric unit:
K  0.0000  0.0000  0.0000 [1 per cell]
Na  0.0000  0.5000  0.5000 [2 per cell]
Tl  0.5000  0.5000  0.5000 [1 per cell]
Cd  0.5000  0.5000  0.0000 [1 per cell]

=====

18.
VASP calculation (PBE) on a relaxed structure of KNaTlCd2.

Results
**Offset from the most stable computed form**: 0.000 eV/atom
**Mass density**: 5.1 g cm⁻³
**ΔH_f (0 K)**: -57 meV/atom
**Crystal system**: orthorhombic
**E_tot**: -1.379 eV/atom

Cell lengths 4.2731, 5.3002, 14.1215 Å; angles 90.00, 90.00, 90.00 degrees
Space group Imm2 (No. 44)
Asymmetric unit:
K  0.0000  0.0000  0.0000 [2 per cell]
Na  0.0000  0.5000  0.7386 [2 per cell]
Tl  0.0000  0.0000  0.4010 [2 per cell]
Cd  0.0000  0.0000  0.6171 [2 per cell]
Cd  0.0000  0.5000  0.2741 [2 per cell]

=====

19.
VASP calculation (PBE) on a relaxed structure of KNa2TlCd.

Results
**Offset from the most stable computed form**: 0.004 eV/atom
**Mass density**: 3.3 g cm⁻³
**ΔH_f (0 K)**: 16 meV/atom
**Crystal system**: tetragonal
**E_tot**: -1.387 eV/atom

Cell lengths 5.9735, 5.9735, 5.7349 Å; angles 90.00, 90.00, 90.00 degrees
Space group P4/mmm (No. 123)
Asymmetric unit:
K  0.0000  0.0000  0.0000 [1 per cell]
Na  0.0000  0.5000  0.5000 [2 per cell]
Tl  0.5000  0.5000  0.0000 [1 per cell]
Cd  0.5000  0.5000  0.5000 [1 per cell]

=====

20.
VASP calculation (PBE) on a relaxed structure of K2Na5TlCd2.

Results
**Mass density**: 2.9 g cm⁻³
**ΔH_f (0 K)**: -35 meV/atom
**Crystal system**: tetragonal
**E_tot**: -1.334 eV/atom

Cell lengths 12.9952, 12.9952, 4.2817 Å; angles 90.00, 90.00, 90.00 degrees
Space group P4/mbm (No. 127)
Asymmetric unit:
K  0.1741  0.3259  0.0000 [4 per cell]
Na  0.0000  0.5000  0.5000 [2 per cell]
Na  0.0603  0.8090  0.5000 [8 per cell]
Tl  0.0000  0.0000  0.0000 [2 per cell]
Cd  0.1289  0.6289  0.0000 [4 per cell]

=====

21.
VASP calculation (PBE) on a relaxed structure of K2Na3Tl4Cd2.

Results
**Mass density**: 5.0 g cm⁻³
**ΔH_f (0 K)**: 2 meV/atom
**Crystal system**: tetragonal
**E_tot**: -1.585 eV/atom

Cell lengths 5.1152, 5.1152, 30.2827 Å; angles 90.00, 90.00, 90.00 degrees
Space group I4/mmm (No. 139)
Asymmetric unit:
K  0.0000  0.0000  0.1964 [4 per cell]
Na  0.0000  0.0000  0.3330 [4 per cell]
Na  0.0000  0.0000  0.5000 [2 per cell]
Tl  0.0000  0.5000  0.1011 [8 per cell]
Cd  0.0000  0.0000  0.0457 [4 per cell]

=====

22.
VASP calculation (PBE) on a relaxed structure of K2Na5Tl2Cd.

Results
**Mass density**: 3.3 g cm⁻³
**ΔH_f (0 K)**: -51 meV/atom
**Crystal system**: tetragonal
**E_tot**: -1.495 eV/atom

Cell lengths 12.7212, 12.7212, 4.4953 Å; angles 90.00, 90.00, 90.00 degrees
Space group P4/mbm (No. 127)
Asymmetric unit:
K  0.1740  0.3260  0.0000 [4 per cell]
Na  0.0000  0.5000  0.5000 [2 per cell]
Na  0.0611  0.8072  0.5000 [8 per cell]
Tl  0.1250  0.6250  0.0000 [4 per cell]
Cd  0.0000  0.0000  0.0000 [2 per cell]

=====

23.
VASP calculation (PBE) on a relaxed structure of KNaTl2Cd2.

Results
**Mass density**: 6.1 g cm⁻³
**ΔH_f (0 K)**: -104 meV/atom
**Crystal system**: trigonal
**E_tot**: -1.601 eV/atom

Cell lengths 5.2147, 5.2147, 8.1037 Å; angles 90.00, 90.00, 120.00 degrees
Space group P-3m1 (No. 164)
Asymmetric unit:
K  0.0000  0.0000  0.0000 [1 per cell]
Na  0.0000  0.0000  0.5000 [1 per cell]
Tl  0.3333  0.6667  0.7080 [2 per cell]
Cd  0.3333  0.6667  0.3012 [2 per cell]

=====

24.
VASP calculation (PBE) on a relaxed structure of K2NaTl12Cd3.

Results
**Mass density**: 8.1 g cm⁻³
**ΔH_f (0 K)**: 35 meV/atom
**Crystal system**: trigonal
**E_tot**: -1.890 eV/atom

Cell lengths 11.3999, 11.3999, 15.7595 Å; angles 90.00, 90.00, 120.00 degrees
Space group R-3m (No. 166, hexagonal axes)
Asymmetric unit:
K  0.0000  0.0000  0.1293 [6 per cell]
Na  0.0000  0.0000  0.5000 [3 per cell]
Tl  0.0093  0.5047  0.1957 [18 per cell]
Tl  0.0330  0.5165  0.3967 [18 per cell]
Cd  0.0000  0.5000  0.0000 [9 per cell]

=====

25.
VASP calculation (PBE) on a relaxed structure of K2Na4Tl2Cd.

Results
**Mass density**: 3.6 g cm⁻³
**ΔH_f (0 K)**: -88 meV/atom
**Crystal system**: monoclinic
**E_tot**: -1.545 eV/atom

Cell lengths 11.4681, 7.1179, 7.9735 Å; angles 90.00, 98.08, 90.00 degrees
Space group C2/m (No. 12)
Asymmetric unit:
K  0.1615  0.0000  0.3944 [4 per cell]
Na  0.1175  0.2486  0.8609 [8 per cell]
Tl  0.1321  0.5000  0.2026 [4 per cell]
Cd  0.0000  0.5000  0.5000 [2 per cell]